# SiTcOs2 (PBE-GGA, relaxed)
# crystal system = tetragonal
# calculated density = 15.4 g/cm³
# uncorrected formation energy = -0.1640 eV per atom
# M_tot = 0.00 μB/f.u.
data_SiTcOs2
_chemical_formula_sum 'Si1 Tc1 Os2'
_cell_length_a 2.871
_cell_length_b 2.871
_cell_length_c 6.637
_cell_angle_alpha 90.00
_cell_angle_beta 90.00
_cell_angle_gamma 90.00
_space_group_name_H-M_alt 'P 4/m m m'
_space_group_IT_number 123
_space_group_name_Hall '-P 4 2'
loop_
_atom_site_label
_atom_site_type_symbol
_atom_site_fract_x
_atom_site_fract_y
_atom_site_fract_z
Si1 Si 0.000 0.000 0.000
Tc1 Tc 0.000 0.000 0.500
Os1 Os 0.500 0.500 0.222